A plane-wave DFT calculation with PBE+U was carried out for a relaxed structure of Sm2FeO6.

Results
Total energy ... -63.0 eV per formula unit

a b c (Å): 3.766 5.709 6.104
angles (deg): 117.88 98.23 90.00
Fractional coordinates of all 9 atoms:
Sm1 0.695 0.669 0.337
Sm2 0.305 0.331 0.663
O1 0.500 0.772 0.000
O2 0.176 0.908 0.293
O3 0.824 0.092 0.707
O4 0.176 0.385 0.293
O5 0.824 0.615 0.707
O6 0.500 0.228 0.000
Fe1 0.000 0.000 0.000